Record 1
Density functional theory data (GGA-PBE) for crystalline Fe2NiOs at its relaxed geometry.

energy relative to the lowest polymorph listed for this composition: 1212 meV/atom
energy: -7.1802 eV/atom
total magnetic moment: 0.000 μB/f.u.
DOS at the Fermi energy: 1.39 states/eV per atom
ΔE_f: 1.30 eV per atom

abc: 5.2054 5.2054 9.7181
angles: 90.00 90.00 90.00
Closest atoms and distances in Å follow each position.
Space group I-42d (No. 122)
One atom of each set of equivalent atoms:
1 Fe 0.2378 0.2500 0.1250 (multiplicity 8)  2 Ni 2.17, 2 Os 2.24
2 Ni 0.0000 0.0000 0.0000 (multiplicity 4)  4 Fe 2.17
3 Os 0.0000 0.0000 0.5000 (multiplicity 4)  4 Fe 2.24


Record 2
Density functional theory data (GGA-PBE) for crystalline Fe2NiOs at its relaxed geometry.

energy relative to the lowest polymorph listed for this composition: 15 meV/atom
energy: -8.3766 eV/atom
total magnetic moment: 3.251 μB/f.u.
DOS at the Fermi energy: 1.18 states/eV per atom
ΔE_f: 0.11 eV per atom

abc: 2.5990 3.5928 5.1170
angles: 90.00 90.00 90.00
Closest atoms and distances in Å follow each position.
Space group Pmm2 (No. 25)
One atom of each set of equivalent atoms:
1 Fe 0.0000 0.0000 0.0000 (multiplicity 1)  4 Os 2.51, 2 Ni 2.56, 6 Fe 2.59-2.60
2 Fe 0.5000 0.5000 0.2610 (multiplicity 1)  2 Os 2.51-2.61, 4 Ni 2.53, 6 Fe 2.59-2.60
3 Ni 0.0000 0.0000 0.4996 (multiplicity 1)  6 Fe 2.53-2.56, 2 Ni 2.60, 4 Os 2.62
4 Os 0.5000 0.5000 0.7710 (multiplicity 1)  6 Fe 2.51-2.61, 2 Os 2.60, 4 Ni 2.62


Record 3
Density functional theory data (GGA-PBE) for crystalline Fe2NiOs at its relaxed geometry.

energy relative to the lowest polymorph listed for this composition: 4 meV/atom
energy: -8.3881 eV/atom
total magnetic moment: 4.536 μB/f.u.
DOS at the Fermi energy: 0.98 states/eV per atom
ΔE_f: 0.10 eV per atom

abc: 2.6192 2.6192 7.0779
angles: 90.00 90.00 90.00
Closest atoms and distances in Å follow each position.
Space group P4/mmm (No. 123)
One atom of each set of equivalent atoms:
1 Fe 0.0000 0.0000 0.2404 (multiplicity 2)  4 Ni 2.51, 4 Os 2.61, 4 Fe 2.62
2 Ni 0.5000 0.5000 0.0000 (multiplicity 1)  8 Fe 2.51, 4 Ni 2.62
3 Os 0.5000 0.5000 0.5000 (multiplicity 1)  8 Fe 2.61, 4 Os 2.62


Record 4
Density functional theory data (GGA-PBE) for crystalline Fe2NiOs at its relaxed geometry.

energy relative to the lowest polymorph listed for this composition: 28 meV/atom
energy: -8.3640 eV/atom
total magnetic moment: 4.309 μB/f.u.
DOS at the Fermi energy: 1.12 states/eV per atom
ΔE_f: 0.12 eV per atom

abc: 2.6180 2.6180 7.0938
angles: 90.00 90.00 90.00
Closest atoms and distances in Å follow each position.
Space group P4mm (No. 99)
One atom of each set of equivalent atoms:
1 Fe 0.0000 0.0000 0.0000 (multiplicity 1)  4 Os 2.53, 8 Fe 2.56-2.62
2 Fe 0.5000 0.5000 0.2494 (multiplicity 1)  4 Ni 2.53, 8 Fe 2.56-2.62
3 Ni 0.0000 0.0000 0.4925 (multiplicity 1)  4 Fe 2.53, 4 Ni 2.62, 4 Os 2.64
4 Os 0.5000 0.5000 0.7577 (multiplicity 1)  4 Fe 2.53, 4 Os 2.62, 4 Ni 2.64


Record 5
Density functional theory data (GGA-PBE) for crystalline Fe3NiOs at its relaxed geometry.

energy relative to the lowest polymorph listed for this composition: 385 meV/atom
energy: -6.7973 eV/atom
total magnetic moment: 5.935 μB/f.u.
DOS at the Fermi energy: 1.65 states/eV per atom
ΔE_f: 1.68 eV per atom

abc: 4.4365 4.4365 4.4365
angles: 90.00 90.00 90.00
Closest atoms and distances in Å follow each position.
Space group Pm-3m (No. 221)
One atom of each set of equivalent atoms:
1 Fe 0.0000 0.0000 0.5000 (multiplicity 3)  2 Os 2.22
2 Ni 0.5000 0.5000 0.5000 (multiplicity 1)  12 Fe 3.14
3 Os 0.0000 0.0000 0.0000 (multiplicity 1)  6 Fe 2.22


Record 6
Density functional theory data (GGA-PBE) for crystalline Fe2NiOs at its relaxed geometry.

energy relative to the lowest polymorph listed for this composition: 92 meV/atom
energy: -8.2993 eV/atom
total magnetic moment: 5.911 μB/f.u.
DOS at the Fermi energy: 1.30 states/eV per atom
ΔE_f: 0.18 eV per atom

abc: 5.0781 8.4694 2.5141
angles: 90.00 112.47 90.00
Closest atoms and distances in Å follow each position.
Space group C2/m (No. 12)
One atom of each set of equivalent atoms:
1 Fe 0.2500 0.2500 0.0000 (multiplicity 4)  6 Fe 2.51-2.81, 2 Os 2.54, 2 Ni 2.54
2 Ni 0.0000 0.0000 0.5000 (multiplicity 2)  2 Ni 2.51, 4 Os 2.54-2.81, 4 Fe 2.54
3 Os 0.0000 0.5000 0.5000 (multiplicity 2)  2 Os 2.51, 4 Ni 2.54-2.81, 4 Fe 2.54


Record 7
Density functional theory data (GGA-PBE) for crystalline Fe2NiOs at its relaxed geometry.

energy relative to the lowest polymorph listed for this composition: 108 meV/atom
energy: -8.2841 eV/atom
total magnetic moment: 6.426 μB/f.u.
DOS at the Fermi energy: 0.97 states/eV per atom
ΔE_f: 0.20 eV per atom

abc: 2.9096 4.2456 8.1805
angles: 90.00 90.00 90.00
Closest atoms and distances in Å follow each position.
Space group Cmmm (No. 65)
One atom of each set of equivalent atoms:
1 Fe 0.0000 0.0000 0.2381 (multiplicity 4)  2 Ni 2.43, 4 Fe 2.57, 2 Os 2.59
2 Ni 0.0000 0.5000 0.0000 (multiplicity 2)  4 Fe 2.43, 4 Ni 2.57
3 Os 0.0000 0.5000 0.5000 (multiplicity 2)  4 Os 2.57, 4 Fe 2.59


Record 8
Density functional theory data (GGA-PBE) for crystalline Fe2NiOs at its relaxed geometry.

energy relative to the lowest polymorph listed for this composition: 151 meV/atom
energy: -8.2410 eV/atom
total magnetic moment: 4.417 μB/f.u.
DOS at the Fermi energy: 1.67 states/eV per atom
ΔE_f: 0.24 eV per atom

abc: 5.7996 5.7996 5.7996
angles: 90.00 90.00 90.00
Closest atoms and distances in Å follow each position.
Space group Fm-3m (No. 225)
One atom of each set of equivalent atoms:
1 Fe 0.2500 0.2500 0.2500 (multiplicity 8)  4 Os 2.51, 4 Ni 2.51
2 Ni 0.0000 0.0000 0.0000 (multiplicity 4)  8 Fe 2.51
3 Os 0.0000 0.0000 0.5000 (multiplicity 4)  8 Fe 2.51


Record 9
Density functional theory data (GGA-PBE) for crystalline Fe2Ni2Os at its relaxed geometry.

energy relative to the lowest polymorph listed for this composition: 0 meV/atom
energy: -7.6649 eV/atom
total magnetic moment: 6.616 μB/f.u.
DOS at the Fermi energy: 1.14 states/eV per atom
ΔE_f: 0.28 eV per atom

abc: 6.8930 6.8930 2.5555
angles: 90.00 90.00 90.00
Closest atoms and distances in Å follow each position.
Space group P4/mbm (No. 127)
One atom of each set of equivalent atoms:
1 Fe 0.1216 0.3784 0.0000 (multiplicity 4)  6 Ni 2.35-2.45, 3 Fe 2.37-2.56
2 Ni 0.1761 0.6761 0.5000 (multiplicity 4)  6 Fe 2.35-2.45, 2 Ni 2.56
3 Os 0.0000 0.0000 0.0000 (multiplicity 2)  2 Os 2.56, 4 Fe 2.74, 8 Ni 2.84


Record 10
Density functional theory data (GGA-PBE) for crystalline Fe2NiOs at its relaxed geometry.

energy relative to the lowest polymorph listed for this composition: 45 meV/atom
energy: -8.3472 eV/atom
total magnetic moment: 4.184 μB/f.u.
DOS at the Fermi energy: 1.25 states/eV per atom
ΔE_f: 0.14 eV per atom

abc: 3.6233 3.6233 3.6353
angles: 90.00 90.00 90.00
Closest atoms and distances in Å follow each position.
Space group P4/mmm (No. 123)
One atom of each set of equivalent atoms:
1 Fe 0.0000 0.5000 0.0000 (multiplicity 2)  4 Fe 2.56, 4 Os 2.57, 4 Ni 2.57
2 Ni 0.0000 0.0000 0.5000 (multiplicity 1)  4 Os 2.56, 8 Fe 2.57
3 Os 0.5000 0.5000 0.5000 (multiplicity 1)  4 Ni 2.56, 8 Fe 2.57


Record 11
Density functional theory data (GGA-PBE) for crystalline Fe2NiOs at its relaxed geometry.

energy relative to the lowest polymorph listed for this composition: 0 meV/atom
energy: -8.3918 eV/atom
total magnetic moment: 3.412 μB/f.u.
DOS at the Fermi energy: 1.01 states/eV per atom
ΔE_f: 0.09 eV per atom

abc: 3.6248 3.6248 7.1838
angles: 90.00 90.00 90.00
Closest atoms and distances in Å follow each position.
Space group I-4m2 (No. 119)
One atom of each set of equivalent atoms:
1 Fe 0.0000 0.0000 0.0000 (multiplicity 2)  4 Fe 2.55, 4 Ni 2.55, 4 Os 2.56
2 Fe 0.0000 0.5000 0.2500 (multiplicity 2)  4 Fe 2.55, 4 Os 2.55, 4 Ni 2.56
3 Ni 0.0000 0.5000 0.7500 (multiplicity 2)  8 Fe 2.55-2.56, 4 Os 2.55
4 Os 0.0000 0.0000 0.5000 (multiplicity 2)  8 Fe 2.55-2.56, 4 Ni 2.55


Record 12
Density functional theory data (GGA-PBE) for crystalline Fe2NiOs at its relaxed geometry.

energy relative to the lowest polymorph listed for this composition: 37 meV/atom
energy: -8.3553 eV/atom
total magnetic moment: 4.984 μB/f.u.
DOS at the Fermi energy: 1.09 states/eV per atom
ΔE_f: 0.13 eV per atom

abc: 2.6280 2.6280 24.8478
angles: 90.00 90.00 120.00
Closest atoms and distances in Å follow each position.
Space group R3m (No. 160, hexagonal axes)
One atom of each set of equivalent atoms:
1 Fe 0.0000 0.0000 0.0000 (multiplicity 3)  3 Ni 2.49, 9 Fe 2.55-2.63
2 Fe 0.0000 0.0000 0.2507 (multiplicity 3)  9 Fe 2.55-2.63, 3 Os 2.56
3 Ni 0.0000 0.0000 0.7463 (multiplicity 3)  3 Fe 2.49, 6 Ni 2.63, 3 Os 2.66
4 Os 0.0000 0.0000 0.5008 (multiplicity 3)  3 Fe 2.56, 6 Os 2.63, 3 Ni 2.66


Record 13
Density functional theory data (GGA-PBE) for crystalline Fe2NiOs at its relaxed geometry.

energy relative to the lowest polymorph listed for this composition: 35 meV/atom
energy: -8.3563 eV/atom
total magnetic moment: 5.093 μB/f.u.
DOS at the Fermi energy: 1.18 states/eV per atom
ΔE_f: 0.13 eV per atom

abc: 2.6190 2.6190 24.9888
angles: 90.00 90.00 120.00
Closest atoms and distances in Å follow each position.
Space group R-3m (No. 166, hexagonal axes)
One atom of each set of equivalent atoms:
1 Fe 0.0000 0.0000 0.2471 (multiplicity 6)  3 Ni 2.52, 6 Fe 2.62, 3 Os 2.63
2 Ni 0.0000 0.0000 0.5000 (multiplicity 3)  6 Fe 2.52, 6 Ni 2.62
3 Os 0.0000 0.0000 0.0000 (multiplicity 3)  6 Os 2.62, 6 Fe 2.63


Record 14
Density functional theory data (GGA-PBE) for crystalline Fe3NiOs at its relaxed geometry.

energy relative to the lowest polymorph listed for this composition: 0 meV/atom
energy: -7.1820 eV/atom
total magnetic moment: 10.744 μB/f.u.
DOS at the Fermi energy: 1.23 states/eV per atom
ΔE_f: 1.30 eV per atom

abc: 4.2163 4.2163 4.2163
angles: 90.00 90.00 90.00
Closest atoms and distances in Å follow each position.
Space group Pm-3m (No. 221)
One atom of each set of equivalent atoms:
1 Fe 0.0000 0.0000 0.5000 (multiplicity 3)  2 Ni 2.11
2 Ni 0.0000 0.0000 0.0000 (multiplicity 1)  6 Fe 2.11
3 Os 0.5000 0.5000 0.5000 (multiplicity 1)  12 Fe 2.98